(1)
DFT (GGA-PBE) results for a relaxed Ce3P4Pd2 crystal.

Lattice parameters (Å, degrees): 3.9848 6.6664 8.5003 121.59 90.00 107.39
Last column: nearest neighbours and their distance in Å.
Fractional positions:
Ce (0.6328, 0.2656, 0.7204)  7 P 2.83-3.16
Ce (0.0000, 0.0000, 0.0000)  6 P 2.82-2.93
Ce (0.3672, 0.7344, 0.2796)  7 P 2.83-3.16
P (0.6811, 0.3621, 0.0886)  1 Pd 2.41
P (0.3189, 0.6379, 0.9114)  1 Pd 2.41
P (0.9243, 0.8485, 0.6067)  3 Pd 2.43-2.69
P (0.0757, 0.1515, 0.3933)  3 Pd 2.43-2.69
Pd (0.6728, 0.3455, 0.3645)  4 P 2.41-2.69
Pd (0.3272, 0.6545, 0.6355)  4 P 2.41-2.69

Total magnetic moment: 0.022 μB/atom
Symmetry: C2/m, No. 12
N(E_F): 6.581 states/eV/cell
Calculated volume: 180.1 Å³/f.u.

=====

(2)
DFT (GGA-PBE) results for a relaxed Ce2P6Pd21 crystal.

Lattice parameters (Å, degrees): 8.6623 8.6623 8.6623 60.00 60.00 60.00
Last column: nearest neighbours and their distance in Å.
Fractional positions:
Ce (0.7500, 0.7500, 0.7500)  4 Pd 2.87
Ce (0.2500, 0.2500, 0.2500)  4 Pd 2.87
P (0.2603, 0.7397, 0.2603)  8 Pd 2.37-2.51
P (0.7397, 0.2603, 0.2603)  8 Pd 2.37-2.51
P (0.7397, 0.7397, 0.2603)  8 Pd 2.37-2.51
P (0.7397, 0.2603, 0.7397)  8 Pd 2.37-2.51
P (0.2603, 0.7397, 0.7397)  8 Pd 2.37-2.51
P (0.2603, 0.2603, 0.7397)  8 Pd 2.37-2.51
Pd (0.0000, 0.0000, 0.0000)  12 Pd 2.98, 6 P 3.19
Pd (0.6147, 0.6147, 0.1559)  3 P 2.51
Pd (0.6147, 0.6147, 0.6147)  3 P 2.51
Pd (0.6147, 0.1559, 0.6147)  3 P 2.51
Pd (0.1559, 0.6147, 0.6147)  3 P 2.51
Pd (0.3853, 0.3853, 0.8441)  3 P 2.51
Pd (0.3853, 0.3853, 0.3853)  3 P 2.51
Pd (0.3853, 0.8441, 0.3853)  3 P 2.51
Pd (0.8441, 0.3853, 0.3853)  3 P 2.51
Pd (0.6555, 0.0000, 0.3445)  2 P 2.37
Pd (0.0000, 0.6555, 0.3445)  2 P 2.37
Pd (0.0000, 0.0000, 0.3445)  2 P 2.37
Pd (0.0000, 0.6555, 0.0000)  2 P 2.37
Pd (0.6555, 0.0000, 0.0000)  2 P 2.37
Pd (0.0000, 0.0000, 0.6555)  2 P 2.37
Pd (0.0000, 0.3445, 0.0000)  2 P 2.37
Pd (0.0000, 0.3445, 0.6555)  2 P 2.37
Pd (0.6555, 0.3445, 0.0000)  2 P 2.37
Pd (0.3445, 0.0000, 0.6555)  2 P 2.37
Pd (0.3445, 0.0000, 0.0000)  2 P 2.37
Pd (0.3445, 0.6555, 0.0000)  2 P 2.37

Total magnetic moment: 0.041 μB/atom
Symmetry: Fm-3m, No. 225
N(E_F): 20.899 states/eV/cell
Calculated volume: 459.6 Å³/f.u.

=====

(3)
DFT (GGA-PBE) results for a relaxed Ce4P6Pd5 crystal.

Lattice parameters (Å, degrees): 4.0798 9.4924 15.0290 90.00 90.00 102.41
Last column: nearest neighbours and their distance in Å.
Fractional positions:
Ce (0.9729, 0.9458, 0.2623)  6 P 2.97-3.00, 5 Pd 3.02-3.12
Ce (0.0271, 0.0542, 0.7623)  6 P 2.97-3.00, 5 Pd 3.02-3.12
Ce (0.1698, 0.3397, 0.3070)  6 P 2.84-3.05
Ce (0.8302, 0.6603, 0.8070)  6 P 2.84-3.05
Ce (0.8208, 0.6416, 0.4473)  6 P 2.82-3.03
Ce (0.1792, 0.3584, 0.9473)  6 P 2.82-3.03
Ce (0.0157, 0.0314, 0.5056)  7 P 3.00-3.05, 5 Pd 3.17-3.21
Ce (0.9843, 0.9686, 0.0056)  7 P 3.00-3.05, 5 Pd 3.17-3.21
P (0.7711, 0.5421, 0.2646)  4 Pd 2.46-2.53
P (0.4349, 0.8699, 0.3981)  1 P 2.31, 1 Pd 2.44
P (0.7780, 0.5560, 0.9906)  4 Pd 2.44-2.52
P (0.2220, 0.4440, 0.4906)  4 Pd 2.44-2.52
P (0.4431, 0.8862, 0.8652)  1 P 2.31, 1 Pd 2.40
P (0.5569, 0.1138, 0.3652)  1 P 2.31, 1 Pd 2.40
P (0.4219, 0.8438, 0.1298)  5 Pd 2.40-2.64
P (0.5781, 0.1562, 0.6298)  5 Pd 2.40-2.64
P (0.1174, 0.2348, 0.1243)  4 Pd 2.42-2.51
P (0.8826, 0.7652, 0.6243)  4 Pd 2.42-2.51
P (0.5651, 0.1301, 0.8981)  1 P 2.31, 1 Pd 2.44
P (0.2289, 0.4579, 0.7646)  4 Pd 2.46-2.53
Pd (0.4494, 0.8988, 0.6491)  3 P 2.40-2.42
Pd (0.5506, 0.1012, 0.1491)  3 P 2.40-2.42
Pd (0.1539, 0.3077, 0.6293)  4 P 2.44-2.48
Pd (0.8461, 0.6923, 0.1293)  4 P 2.44-2.48
Pd (0.6470, 0.2941, 0.4795)  4 P 2.40-2.60
Pd (0.3530, 0.7059, 0.9795)  4 P 2.40-2.60
Pd (0.3039, 0.6077, 0.6243)  4 P 2.51-2.53, 2 Pd 2.72-2.78
Pd (0.6961, 0.3923, 0.1243)  4 P 2.51-2.53, 2 Pd 2.72-2.78
Pd (0.3461, 0.6922, 0.2783)  4 P 2.44-2.64
Pd (0.6539, 0.3078, 0.7783)  4 P 2.44-2.64

Total magnetic moment: 0.064 μB/atom
Symmetry: Cmc2_1, No. 36
N(E_F): 30.975 states/eV/cell
Calculated volume: 284.2 Å³/f.u.

=====

(4)
DFT (GGA-PBE) results for a relaxed CePPd crystal.

Lattice parameters (Å, degrees): 3.8674 3.8674 4.9844 112.83 112.83 90.00
Last column: nearest neighbours and their distance in Å.
Fractional positions:
P (0.2647, 0.2647, 0.5294)  1 Pd 2.50
Pd (0.9646, 0.9646, 0.9292)  1 P 2.50
Ce (0.6207, 0.6207, 0.2414)  5 Pd 2.87-3.03, 5 P 2.97-2.99

Total magnetic moment: 0.189 μB/atom
Symmetry: I4mm, No. 107
N(E_F): 3.958 states/eV/cell
Calculated volume: 62.3 Å³/f.u.

=====

(5)
DFT (GGA-PBE) results for a relaxed CeP2Pd4 crystal.

Lattice parameters (Å, degrees): 3.8826 7.7127 7.7127 90.00 90.00 90.00
Last column: nearest neighbours and their distance in Å.
Fractional positions:
Ce (0.5000, 0.0000, 0.0000)  6 P 3.06-3.08, 8 Pd 3.28
Ce (0.0000, 0.5000, 0.5000)  6 P 3.06-3.08, 8 Pd 3.28
P (0.0000, 0.2196, 0.7804)  6 Pd 2.48-2.51
P (0.0000, 0.7804, 0.2196)  6 Pd 2.48-2.51
P (0.5000, 0.7196, 0.7196)  6 Pd 2.48-2.51
P (0.5000, 0.2804, 0.2804)  6 Pd 2.48-2.51
Pd (0.0000, 0.0862, 0.3322)  3 P 2.48-2.51, 1 Pd 2.68
Pd (0.0000, 0.9138, 0.6678)  3 P 2.48-2.51, 1 Pd 2.68
Pd (0.5000, 0.1678, 0.5862)  3 P 2.48-2.51, 1 Pd 2.68
Pd (0.5000, 0.8322, 0.4138)  3 P 2.48-2.51, 1 Pd 2.68
Pd (0.5000, 0.4138, 0.8322)  3 P 2.48-2.51, 1 Pd 2.68
Pd (0.5000, 0.5862, 0.1678)  3 P 2.48-2.51, 1 Pd 2.68
Pd (0.0000, 0.3322, 0.0862)  3 P 2.48-2.51, 1 Pd 2.68
Pd (0.0000, 0.6678, 0.9138)  3 P 2.48-2.51, 1 Pd 2.68

Total magnetic moment: 0.040 μB/atom
Symmetry: P4_2/mnm, No. 136
N(E_F): 16.780 states/eV/cell
Calculated volume: 115.5 Å³/f.u.

=====

(6)
DFT (GGA-PBE) results for a relaxed CeP4Pd4 crystal.

Lattice parameters (Å, degrees): 6.2882 6.2882 7.7225 90.00 90.00 90.00
Last column: nearest neighbours and their distance in Å.
Fractional positions:
Ce (0.0000, 0.0000, 0.0000)  4 P 2.84
Ce (0.5000, 0.5000, 0.5000)  4 P 2.84
P (0.5000, 0.7664, 0.7970)  5 Pd 2.39-2.54
P (0.5000, 0.2336, 0.7970)  5 Pd 2.39-2.54
P (0.7664, 0.5000, 0.2030)  5 Pd 2.39-2.54
P (0.2336, 0.5000, 0.2030)  5 Pd 2.39-2.54
P (0.2664, 0.0000, 0.2970)  5 Pd 2.39-2.54
P (0.7336, 0.0000, 0.2970)  5 Pd 2.39-2.54
P (0.0000, 0.2664, 0.7030)  5 Pd 2.39-2.54
P (0.0000, 0.7336, 0.7030)  5 Pd 2.39-2.54
Pd (0.2201, 0.5000, 0.8943)  5 P 2.39-2.54
Pd (0.7799, 0.5000, 0.8943)  5 P 2.39-2.54
Pd (0.5000, 0.7799, 0.1057)  5 P 2.39-2.54
Pd (0.5000, 0.2201, 0.1057)  5 P 2.39-2.54
Pd (0.0000, 0.7201, 0.3943)  5 P 2.39-2.54
Pd (0.0000, 0.2799, 0.3943)  5 P 2.39-2.54
Pd (0.2799, 0.0000, 0.6057)  5 P 2.39-2.54
Pd (0.7201, 0.0000, 0.6057)  5 P 2.39-2.54

Total magnetic moment: 0.055 μB/atom
Symmetry: P4_2/nmc, No. 137
N(E_F): 14.189 states/eV/cell
Calculated volume: 152.7 Å³/f.u.

=====

Number 1: ΔE_f -1.162 eV/atom. Number 2: ΔE_f -0.609 eV/atom. Number 3: ΔE_f -1.050 eV/atom. Number 4: ΔE_f -0.728 eV/atom. Number 5: ΔE_f -0.816 eV/atom. Number 6: ΔE_f -0.536 eV/atom.